(1)
Compound: Ta2OsRh
Source: the Alexandria database
Functional: meta-GGA SCAN
Structure: single point on PBEsol structure

Cell: 2.958 3.621 5.832 Å, 90.00 90.00 90.00°
Space group Pmmm (No. 47)
Unique sites:
Ta  0.000  0.000  0.247 [2 per cell]
Os  0.500  0.500  0.000 [1 per cell]
Rh  0.500  0.500  0.500 [1 per cell]

Values from the calculation:
Magnetization   0.000 μB per atom
Total energy   -60.13 eV per atom


(2)
Compound: Ta2OsRh
Source: the Alexandria database
Functional: meta-GGA SCAN
Structure: single point on PBEsol structure

Cell: 5.843 7.254 2.945 Å, 90.00 90.00 90.00°
Space group Cmmm (No. 65)
Unique sites:
Ta  0.250  0.250  0.000 [4 per cell]
Os  0.000  0.000  0.500 [2 per cell]
Rh  0.000  0.500  0.500 [2 per cell]

Values from the calculation:
Magnetization   0.000 μB per atom
Total energy   -60.14 eV per atom


(3)
Compound: TaOsRh2
Source: the Alexandria database
Functional: meta-GGA SCAN
Structure: single point on PBEsol structure

Cell: 9.065 2.795 4.677 Å, 90.00 100.77 90.00°
Space group C2/m (No. 12)
Unique sites:
Ta  0.000  0.000  0.000 [2 per cell]
Os  0.000  0.500  0.500 [2 per cell]
Rh  0.247  0.000  0.741 [4 per cell]

Values from the calculation:
Magnetization   0.000 μB per atom
Total energy   -51.74 eV per atom
Polymorph energy (0 for the lowest one)   0.253 eV/atom


(4)
Compound: Ta3OsRh
Source: the Alexandria database
Functional: meta-GGA SCAN
Structure: single point on PBEsol structure

Cell: 4.728 4.728 4.728 Å, 90.00 90.00 90.00°
Space group Pm-3m (No. 221)
Unique sites:
Ta  0.000  0.000  0.500 [3 per cell]
Os  0.000  0.000  0.000 [1 per cell]
Rh  0.500  0.500  0.500 [1 per cell]

Values from the calculation:
Magnetization   0.000 μB per atom
Total energy   -59.81 eV per atom


(5)
Compound: TcOs3Rh
Source: the Alexandria database
Functional: meta-GGA SCAN
Structure: single point on PBEsol structure

Cell: 4.535 4.535 4.535 Å, 90.00 90.00 90.00°
Space group Pm-3m (No. 221)
Unique sites:
Tc  0.000  0.000  0.000 [1 per cell]
Os  0.000  0.500  0.500 [3 per cell]
Rh  0.500  0.500  0.500 [1 per cell]

Values from the calculation:
Magnetization   0.530 μB per atom
Total energy   -54.11 eV per atom


(6)
Compound: Tc2OsRh
Source: the Alexandria database
Functional: meta-GGA SCAN
Structure: single point on PBEsol structure

Cell: 3.828 3.828 7.533 Å, 90.00 90.00 90.00°
Space group I-4m2 (No. 119)
Unique sites:
Tc  0.000  0.000  0.000 [2 per cell]
Tc  0.000  0.500  0.250 [2 per cell]
Os  0.000  0.000  0.500 [2 per cell]
Rh  0.000  0.500  0.750 [2 per cell]

Values from the calculation:
Magnetization   0.000 μB per atom
Total energy   -43.97 eV per atom
Polymorph energy (0 for the lowest one)   0.150 eV/atom


(7)
Compound: TcOs2Rh
Source: the Alexandria database
Functional: meta-GGA SCAN
Structure: single point on PBEsol structure

Cell: 3.809 3.809 3.803 Å, 90.00 90.00 90.00°
Space group P4/mmm (No. 123)
Unique sites:
Tc  0.000  0.000  0.000 [1 per cell]
Os  0.000  0.500  0.500 [2 per cell]
Rh  0.500  0.500  0.000 [1 per cell]

Values from the calculation:
Magnetization   0.000 μB per atom
Total energy   -53.12 eV per atom
Polymorph energy (0 for the lowest one)   0.000 eV/atom


(8)
Compound: Tc2OsRh
Source: the Alexandria database
Functional: meta-GGA SCAN
Structure: single point on PBEsol structure

Cell: 2.709 4.302 4.717 Å, 90.00 90.00 90.00°
Space group Pmm2 (No. 25)
Unique sites:
Tc  0.000  0.000  0.000 [1 per cell]
Tc  0.000  0.500  0.330 [1 per cell]
Os  0.500  0.500  0.831 [1 per cell]
Rh  0.500  0.000  0.491 [1 per cell]

Values from the calculation:
Magnetization   0.000 μB per atom
Total energy   -44.12 eV per atom
Polymorph energy (0 for the lowest one)   0.000 eV/atom


(9)
Compound: TcOs2Rh
Source: the Alexandria database
Functional: meta-GGA SCAN
Structure: single point on PBEsol structure

Cell: 5.388 7.613 2.694 Å, 90.00 90.00 90.00°
Space group Cmmm (No. 65)
Unique sites:
Tc  0.000  0.000  0.000 [2 per cell]
Os  0.250  0.250  0.500 [4 per cell]
Rh  0.000  0.500  0.000 [2 per cell]

Values from the calculation:
Magnetization   0.000 μB per atom
Total energy   -53.08 eV per atom
Polymorph energy (0 for the lowest one)   0.040 eV/atom


(10)
Compound: TeOs2Rh
Source: the Alexandria database
Functional: meta-GGA SCAN
Structure: single point on PBEsol structure

Cell: 2.895 3.772 5.763 Å, 90.00 90.00 90.00°
Space group Pmm2 (No. 25)
Unique sites:
Te  0.000  0.000  0.000 [1 per cell]
Os  0.000  0.000  0.504 [1 per cell]
Os  0.500  0.500  0.305 [1 per cell]
Rh  0.500  0.500  0.761 [1 per cell]

Values from the calculation:
Magnetization   0.000 μB per atom
Total energy   -53.19 eV per atom
Energy relative to the elements, uncorrected   49 kJ/mol of atoms


(11)
Compound: TeOs2Rh
Source: the Alexandria database
Functional: meta-GGA SCAN
Structure: single point on PBEsol structure

Cell: 2.9241 2.9241 25.4290 Å, 90.00 90.00 120.00°
Space group R-3m (No. 166, hexagonal axes)
Unique sites:
Te  0.0000  0.0000  0.0000 [3 per cell]
Os  0.0000  0.0000  0.2487 [6 per cell]
Rh  0.0000  0.0000  0.5000 [3 per cell]

Values from the calculation:
Magnetization   0.000 μB per atom
Total energy   -52.88 eV per atom
Energy relative to the elements, uncorrected   79 kJ/mol of atoms


(12)
Compound: TeOs2Rh
Source: the Alexandria database
Functional: meta-GGA SCAN
Structure: single point on PBEsol structure

Cell: 4.531 4.531 3.009 Å, 90.00 90.00 90.00°
Space group P4/mmm (No. 123)
Unique sites:
Te  0.000  0.000  0.000 [1 per cell]
Os  0.000  0.500  0.500 [2 per cell]
Rh  0.500  0.500  0.000 [1 per cell]

Values from the calculation:
Magnetization   0.000 μB per atom
Total energy   -52.88 eV per atom
Energy relative to the elements, uncorrected   79 kJ/mol of atoms


Repeat the third record exactly.
Compound: TaOsRh2
Source: the Alexandria database
Functional: meta-GGA SCAN
Structure: single point on PBEsol structure

Cell: 9.065 2.795 4.677 Å, 90.00 100.77 90.00°
Space group C2/m (No. 12)
Unique sites:
Ta  0.000  0.000  0.000 [2 per cell]
Os  0.000  0.500  0.500 [2 per cell]
Rh  0.247  0.000  0.741 [4 per cell]

Values from the calculation:
Magnetization   0.000 μB per atom
Total energy   -51.74 eV per atom
Polymorph energy (0 for the lowest one)   0.253 eV/atom


Which value of magnetization does entry 12 give? 0.000 μB per atom